Record 1
Density functional theory data (PBE) for a geometry-optimized Mg5Bi2Pt2 structure.

Output
formation energy: -0.480 eV per atom
total magnetic moment: 0.00 μB/f.u.
electronic total energy: -64.3 eV/cell

Cell lengths 6.999, 7.009, 8.974 Å; angles 90.00, 67.05, 90.00 degrees
Element x y z (fractional)
Mg1 0.000 0.000 0.000
Mg2 0.500 0.500 0.000
Mg3 0.446 0.162 0.781
Mg4 0.773 0.838 0.781
Mg5 0.273 0.662 0.781
Mg6 0.946 0.338 0.781
Mg7 0.554 0.838 0.219
Mg8 0.227 0.162 0.219
Mg9 0.727 0.338 0.219
Mg10 0.054 0.662 0.219
Bi1 0.229 0.000 0.543
Bi2 0.729 0.500 0.543
Bi3 0.771 0.000 0.457
Bi4 0.271 0.500 0.457
Pt1 0.138 0.363 0.000
Pt2 0.862 0.637 0.000
Pt3 0.362 0.863 0.000
Pt4 0.638 0.137 0.000

***

Record 2
Density functional theory data (PBE) for a geometry-optimized Mg3BiPt12 structure.

Output
formation energy: -0.478 eV per atom
total magnetic moment: 0.00 μB/f.u.
electronic total energy: -88.8 eV/cell

Cell lengths 3.999, 3.999, 16.162 Å; angles 90.00, 90.00, 90.00 degrees
Element x y z (fractional)
Mg1 0.000 0.000 0.259
Mg2 0.000 0.000 0.500
Mg3 0.000 0.000 0.741
Bi1 0.000 0.000 0.000
Pt1 0.500 0.500 0.000
Pt2 0.500 0.500 0.257
Pt3 0.500 0.500 0.500
Pt4 0.500 0.500 0.743
Pt5 0.500 0.000 0.137
Pt6 0.500 0.000 0.379
Pt7 0.500 0.000 0.621
Pt8 0.500 0.000 0.863
Pt9 0.000 0.500 0.137
Pt10 0.000 0.500 0.379
Pt11 0.000 0.500 0.621
Pt12 0.000 0.500 0.863

***

Record 3
Density functional theory data (PBE) for a geometry-optimized MgBiPtRh structure.

Output
formation energy: -0.306 eV per atom
total magnetic moment: 0.00 μB/f.u.
electronic total energy: -20.1 eV/cell

Cell lengths 4.692, 4.692, 4.692 Å; angles 60.00, 60.00, 60.00 degrees
Element x y z (fractional)
Mg1 0.000 0.000 0.000
Rh1 0.250 0.250 0.250
Bi1 0.500 0.500 0.500
Pt1 0.750 0.750 0.750

***

Record 4
Density functional theory data (PBE) for a geometry-optimized MgBiPtS2 structure.

Output
raw formation energy: 1.051 eV per atom
total magnetic moment: 0.93 μB/f.u.
electronic total energy: -14.5 eV/cell

Cell lengths 5.255, 5.352, 5.255 Å; angles 90.00, 90.00, 90.00 degrees
Element x y z (fractional)
Mg1 0.000 0.500 0.000
S1 0.000 0.000 0.500
S2 0.500 0.000 0.000
Bi1 0.000 0.000 0.000
Pt1 0.500 0.500 0.500